A relaxed structure of BeNbS, computed with PBE-GGA.

Properties
For the energy above the lowest structure with this stoichiometry, the calculation gives 0.021 eV/atom. The crystal system is monoclinic.

abc: 9.115 3.222 6.089
angles: 90.00 112.58 90.00
Space group Cm (No. 8)
Symmetry-distinct sites (fractional):
Be1 0.000 0.000 0.000
Be2 0.200 0.000 0.941
Nb1 0.007 0.500 0.639
Nb2 0.222 0.500 0.290
S1 0.225 0.000 0.618
S2 0.424 0.000 0.196

---

A relaxed structure of BeNbS3, computed with PBE-GGA.

Properties
For the energy above the lowest structure with this stoichiometry, the calculation gives 0.069 eV/atom. The crystal system is cubic.

abc: 4.802 4.802 4.802
angles: 90.00 90.00 90.00
Space group Pm-3m (No. 221)
Symmetry-distinct sites (fractional):
Be1 0.000 0.000 0.000
Nb1 0.500 0.500 0.500
S1 0.000 0.500 0.500

---

A relaxed structure of Sc2BeNbS, computed with PBE-GGA.

Properties
For the energy above the lowest structure with this stoichiometry, the calculation gives 0.000 eV/atom. The crystal system is tetragonal.

abc: 4.722 4.722 4.585
angles: 90.00 90.00 90.00
Space group P4/mmm (No. 123)
Symmetry-distinct sites (fractional):
Sc1 0.000 0.500 0.000
Be1 0.000 0.000 0.500
Nb1 0.500 0.500 0.500
S1 0.500 0.500 0.000

---

A relaxed structure of BeNbSiS2, computed with PBE-GGA.

Properties
The crystal system is tetragonal.

abc: 4.730 4.730 4.638
angles: 90.00 90.00 90.00
Space group P4/mmm (No. 123)
Symmetry-distinct sites (fractional):
Be1 0.000 0.000 0.000
Nb1 0.000 0.000 0.500
Si1 0.500 0.500 0.000
S1 0.000 0.500 0.500

---

A relaxed structure of Ti2BeNbS, computed with PBE-GGA.

Properties
The crystal system is tetragonal.

abc: 4.824 4.824 4.660
angles: 90.00 90.00 90.00
Space group P4/mmm (No. 123)
Symmetry-distinct sites (fractional):
Ti1 0.000 0.500 0.000
Be1 0.000 0.000 0.500
Nb1 0.500 0.500 0.000
S1 0.500 0.500 0.500

---

A relaxed structure of BeNbTl2S, computed with PBE-GGA.

Properties
The crystal system is tetragonal.

abc: 5.630 5.630 3.582
angles: 90.00 90.00 90.00
Space group P4/mmm (No. 123)
Symmetry-distinct sites (fractional):
Be1 0.000 0.000 0.000
Nb1 0.500 0.500 0.500
Tl1 0.000 0.500 0.000
S1 0.000 0.000 0.500

---

A relaxed structure of BeNb2WS, computed with PBE-GGA.

Properties
The crystal system is tetragonal.

abc: 4.552 4.552 4.382
angles: 90.00 90.00 90.00
Space group P4/mmm (No. 123)
Symmetry-distinct sites (fractional):
Be1 0.000 0.000 0.000
Nb1 0.000 0.500 0.500
W1 0.500 0.500 0.000
S1 0.500 0.500 0.500

---

A relaxed structure of Be2Nb2Sb, computed with PBE-GGA.

Properties
For the energy above the lowest structure with this stoichiometry, the calculation gives 1.762 eV/atom. The crystal system is tetragonal.

abc: 5.100 5.100 4.279
angles: 90.00 90.00 90.00
Space group P4/mmm (No. 123)
Symmetry-distinct sites (fractional):
Be1 0.000 0.000 0.000
Be2 0.500 0.500 0.000
Nb1 0.000 0.500 0.500
Sb1 0.000 0.000 0.500

---

A relaxed structure of BeNbSb2, computed with PBE-GGA.

Properties
The crystal system is tetragonal.

abc: 6.191 6.191 11.327
angles: 90.00 90.00 90.00
Space group I-42d (No. 122)
Symmetry-distinct sites (fractional):
Be1 0.000 0.000 0.000
Nb1 0.000 0.000 0.500
Sb1 0.214 0.250 0.125

---

A relaxed structure of Be2Nb5Sb, computed with PBE-GGA.

Properties
The crystal system is tetragonal.

abc: 6.581 6.581 12.165
angles: 90.00 90.00 90.00
Space group I4/mcm (No. 140)
Symmetry-distinct sites (fractional):
Be1 0.122 0.378 0.000
Nb1 0.000 0.000 0.000
Nb2 0.167 0.333 0.365
Sb1 0.000 0.000 0.250

---

A relaxed structure of Be2Nb5Sb2, computed with PBE-GGA.

Properties
The crystal system is orthorhombic.

abc: 13.961 6.722 6.682
angles: 90.00 90.00 90.00
Space group Cmce (No. 64)
Symmetry-distinct sites (fractional):
Be1 0.000 0.115 0.113
Nb1 0.000 0.000 0.500
Nb2 0.113 0.171 0.824
Sb1 0.215 0.000 0.500

---

A relaxed structure of Be2Nb2Sb, computed with PBE-GGA.

Properties
For the energy above the lowest structure with this stoichiometry, the calculation gives 0.000 eV/atom. The crystal system is tetragonal.

abc: 6.349 6.349 3.622
angles: 90.00 90.00 90.00
Space group P4/mbm (No. 127)
Symmetry-distinct sites (fractional):
Be1 0.113 0.387 0.000
Nb1 0.176 0.676 0.500
Sb1 0.000 0.000 0.000

---

A relaxed structure of BeNbSb, computed with PBE-GGA.

Properties
The crystal system is triclinic.

abc: 3.779 4.050 7.210
angles: 73.92 89.87 89.96
Space group P-1 (No. 2)
Symmetry-distinct sites (fractional):
Be1 0.250 0.029 0.446
Nb1 0.250 0.830 0.843
Sb1 0.250 0.625 0.250

---

A relaxed structure of BeNb2SbSe, computed with PBE-GGA.

Properties
The crystal system is tetragonal.

abc: 5.207 5.207 4.182
angles: 90.00 90.00 90.00
Space group P4/mmm (No. 123)
Symmetry-distinct sites (fractional):
Be1 0.000 0.000 0.000
Nb1 0.000 0.500 0.500
Sb1 0.000 0.000 0.500
Se1 0.500 0.500 0.000

---

A relaxed structure of BeNbSb2Te, computed with PBE-GGA.

Properties
For the energy above the lowest structure with this stoichiometry, the calculation gives 0.000 eV/atom. The crystal system is tetragonal.

abc: 5.390 5.390 5.348
angles: 90.00 90.00 90.00
Space group P4/mmm (No. 123)
Symmetry-distinct sites (fractional):
Be1 0.000 0.000 0.000
Nb1 0.500 0.500 0.500
Sb1 0.000 0.500 0.500
Te1 0.500 0.500 0.000

---

A relaxed structure of BeNbSbTe2, computed with PBE-GGA.

Properties
For the energy above the lowest structure with this stoichiometry, the calculation gives 0.000 eV/atom. The crystal system is tetragonal.

abc: 5.127 5.127 4.576
angles: 90.00 90.00 90.00
Space group P4/mmm (No. 123)
Symmetry-distinct sites (fractional):
Be1 0.000 0.000 0.000
Nb1 0.500 0.500 0.500
Sb1 0.000 0.000 0.500
Te1 0.000 0.500 0.000

---

A relaxed structure of BeNbSbTe2, computed with PBE-GGA.

Properties
For the energy above the lowest structure with this stoichiometry, the calculation gives 0.014 eV/atom. The crystal system is tetragonal.

abc: 5.377 5.377 5.468
angles: 90.00 90.00 90.00
Space group P4/mmm (No. 123)
Symmetry-distinct sites (fractional):
Be1 0.000 0.000 0.000
Nb1 0.500 0.500 0.500
Sb1 0.500 0.500 0.000
Te1 0.000 0.500 0.500

---

A relaxed structure of BeNbSb2Te, computed with PBE-GGA.

Properties
For the energy above the lowest structure with this stoichiometry, the calculation gives 0.032 eV/atom. The crystal system is tetragonal.

abc: 4.711 4.711 5.197
angles: 90.00 90.00 90.00
Space group P4/mmm (No. 123)
Symmetry-distinct sites (fractional):
Be1 0.000 0.000 0.000
Nb1 0.500 0.500 0.500
Sb1 0.000 0.500 0.000
Te1 0.000 0.000 0.500

---

A relaxed structure of TiBeNb2Sb, computed with PBE-GGA.

Properties
The crystal system is tetragonal.

abc: 5.047 5.047 4.906
angles: 90.00 90.00 90.00
Space group P4/mmm (No. 123)
Symmetry-distinct sites (fractional):
Ti1 0.000 0.000 0.000
Be1 0.500 0.500 0.000
Nb1 0.000 0.500 0.500
Sb1 0.000 0.000 0.500

---

A relaxed structure of Be2NbTlSb, computed with PBE-GGA.

Properties
The crystal system is tetragonal.

abc: 4.364 4.364 5.775
angles: 90.00 90.00 90.00
Space group P4/mmm (No. 123)
Symmetry-distinct sites (fractional):
Be1 0.000 0.500 0.000
Nb1 0.000 0.000 0.500
Tl1 0.000 0.000 0.000
Sb1 0.500 0.500 0.500

---

| no. | uncorrected formation energy (eV/atom) |
| --- | --- |
| 1 | -0.4080 |
| 2 | 0.2370 |
| 3 | -0.1262 |
| 4 | 0.5951 |
| 5 | 1.0290 |
| 6 | 0.6871 |
| 7 | 0.6701 |
| 8 | 1.6518 |
| 9 | 0.5209 |
| 10 | -0.2451 |
| 11 | -0.2197 |
| 12 | -0.1106 |
| 13 | 0.0868 |
| 14 | 1.2040 |
| 15 | 0.8075 |
| 16 | 0.7284 |
| 17 | 0.7429 |
| 18 | 0.8393 |
| 19 | 1.6115 |
| 20 | 1.1705 |